No. 1
## Hf2GePd (PBE)

Data for an optimized crystal structure of Hf2GePd.

Lattice parameters (Å, degrees): 4.737 4.737 4.737 60.00 60.00 60.00
Fractional coordinates of all 4 atoms:
Hf (0.000, 0.000, 0.000)
Hf (0.250, 0.250, 0.250)
Ge (0.500, 0.500, 0.500)
Pd (0.750, 0.750, 0.750)

Properties
calculated volume: 18.79 Å³/atom
calculated density: 11.842 g cm⁻³
calculated total energy: -7.454 eV/atom
symmetry: F-43m, No. 216

No. 2
## CuW3Se5 (PBE)

Data for an optimized crystal structure of CuW3Se5.

Lattice parameters (Å, degrees): 5.608 5.608 7.431 90.00 90.00 120.00
Fractional coordinates of all 9 atoms:
Cu (0.000, 0.000, 0.000)
W (0.000, 0.500, 0.500)
W (0.500, 0.000, 0.500)
W (0.500, 0.500, 0.500)
Se (0.000, 0.000, 0.500)
Se (0.333, 0.667, 0.227)
Se (0.333, 0.667, 0.773)
Se (0.667, 0.333, 0.227)
Se (0.667, 0.333, 0.773)

Properties
calculated volume: 22.49 Å³/atom
calculated density: 8.285 g cm⁻³
calculated total energy: -6.350 eV/atom
symmetry: P6/mmm, No. 191

No. 3
## Cs2CdCl4 (PBE)

Data for an optimized crystal structure of Cs2CdCl4.

Lattice parameters (Å, degrees): 7.470 7.522 9.982 90.00 109.95 90.00
Fractional coordinates of all 14 atoms:
Cs (0.187, 0.250, 0.416)
Cs (0.302, 0.250, 0.965)
Cs (0.698, 0.750, 0.035)
Cs (0.813, 0.750, 0.584)
Cd (0.295, 0.750, 0.220)
Cd (0.705, 0.250, 0.780)
Cl (0.069, 0.750, 0.352)
Cl (0.132, 0.750, 0.954)
Cl (0.484, 0.508, 0.719)
Cl (0.484, 0.992, 0.719)
Cl (0.516, 0.008, 0.281)
Cl (0.516, 0.492, 0.281)
Cl (0.868, 0.250, 0.046)
Cl (0.931, 0.250, 0.648)

Properties
calculated volume: 37.65 Å³/atom
calculated density: 3.276 g cm⁻³
calculated total energy: -3.061 eV/atom
symmetry: P2_1/m, No. 11

No. 4
## CoTcAgSn (PBE)

Data for an optimized crystal structure of CoTcAgSn.

Lattice parameters (Å, degrees): 4.482 4.482 4.482 60.00 60.00 60.00
Fractional coordinates of all 4 atoms:
Co (0.000, 0.000, 0.000)
Tc (0.500, 0.500, 0.500)
Ag (0.250, 0.250, 0.250)
Sn (0.750, 0.750, 0.750)

Properties
distance to the lowest polymorph of the same formula: 0.0 meV/atom
calculated volume: 15.91 Å³/atom
calculated density: 10.006 g cm⁻³
symmetry: F-43m, No. 216